Computed, not measured: a geometry-optimized LiPr2ThTe5 structure at the PBE level of DFT.

a b c (Å): 4.426 9.751 13.485
angles (deg): 90.00 90.00 103.12
Fractional positions:
1 Pr 0.128 0.255 0.302
2 Te 0.497 0.993 0.780
3 Te 0.635 0.271 0.501
4 Th 0.801 0.602 0.510
5 Te 0.315 0.630 0.343
6 Te 0.046 0.093 0.068
7 Pr 0.893 0.786 0.187
8 Pr 0.872 0.745 0.802
9 Li 0.553 0.107 0.958
10 Pr 0.107 0.214 0.687
11 Te 0.716 0.431 0.175
12 Li 0.447 0.893 0.458
13 Te 0.284 0.569 0.675
14 Te 0.503 0.007 0.280
15 Th 0.199 0.398 0.010
16 Te 0.954 0.907 0.568
17 Te 0.685 0.370 0.843
18 Te 0.365 0.729 0.001

ΔE_f (raw): -1253 meV per atom
Density of states at the Fermi level: 0.192 states/eV/atom
Magnetization: 0.00 Bohr magnetons per cell